A | # KLaTc2 | Alexandria | PBE-GGA | relaxed
data_KLaTc2
_symmetry_space_group_name_H-M 'I m m 2'
_symmetry_Int_Tables_number 44
_cell_length_a 3.761
_cell_length_b 5.036
_cell_length_c 13.286
_cell_angle_alpha 90.00
_cell_angle_beta 90.00
_cell_angle_gamma 90.00
loop_
_symmetry_equiv_pos_as_xyz
'x,y,z'
'-x,-y,z'
'-x,y,z'
'x,-y,z'
'x+1/2,y+1/2,z+1/2'
'-x+1/2,-y+1/2,z+1/2'
'-x+1/2,y+1/2,z+1/2'
'x+1/2,-y+1/2,z+1/2'
loop_
_atom_site_label
_atom_site_type_symbol
_atom_site_fract_x
_atom_site_fract_y
_atom_site_fract_z
K1 K 0.000 0.000 0.000
La1 La 0.000 0.500 0.766
Tc1 Tc 0.000 0.000 0.635
Tc2 Tc 0.000 0.500 0.238
# Total magnetic moment   0.00 μB/f.u.



B | # KLaTc2 | Alexandria | PBE-GGA | relaxed
data_KLaTc2
_symmetry_space_group_name_H-M 'C 1 2/m 1'
_symmetry_Int_Tables_number 12
_cell_length_a 5.680
_cell_length_b 10.726
_cell_length_c 2.759
_cell_angle_alpha 90.00
_cell_angle_beta 90.18
_cell_angle_gamma 90.00
loop_
_symmetry_equiv_pos_as_xyz
'x,y,z'
'-x,-y,-z'
'-x,y,-z'
'x,-y,z'
'x+1/2,y+1/2,z'
'-x+1/2,-y+1/2,-z'
'-x+1/2,y+1/2,-z'
'x+1/2,-y+1/2,z'
loop_
_atom_site_label
_atom_site_type_symbol
_atom_site_fract_x
_atom_site_fract_y
_atom_site_fract_z
K1 K 0.000 0.000 0.000
La1 La 0.000 0.500 0.000
Tc1 Tc 0.250 0.250 0.500
# Total magnetic moment   0.00 μB/f.u.



C | # KLaTc2 | Alexandria | PBE-GGA | relaxed
data_KLaTc2
_symmetry_space_group_name_H-M 'P m m m'
_symmetry_Int_Tables_number 47
_cell_length_a 3.171
_cell_length_b 4.963
_cell_length_c 7.505
_cell_angle_alpha 90.00
_cell_angle_beta 90.00
_cell_angle_gamma 90.00
loop_
_symmetry_equiv_pos_as_xyz
'x,y,z'
'-x,-y,-z'
'-x,-y,z'
'x,y,-z'
'x,-y,-z'
'-x,y,z'
'-x,y,-z'
'x,-y,z'
loop_
_atom_site_label
_atom_site_type_symbol
_atom_site_fract_x
_atom_site_fract_y
_atom_site_fract_z
K1 K 0.000 0.000 0.000
La1 La 0.000 0.000 0.500
Tc1 Tc 0.500 0.500 0.355
# Total magnetic moment   0.00 μB/f.u.



D | # KLaTc2 | Alexandria | PBE-GGA | relaxed
data_KLaTc2
_symmetry_space_group_name_H-M 'I -4 2 d'
_symmetry_Int_Tables_number 122
_symmetry_space_group_name_Hall 'I -4 2bw'
_cell_length_a 4.707
_cell_length_b 4.707
_cell_length_c 20.409
_cell_angle_alpha 90.00
_cell_angle_beta 90.00
_cell_angle_gamma 90.00
loop_
_atom_site_label
_atom_site_type_symbol
_atom_site_fract_x
_atom_site_fract_y
_atom_site_fract_z
K1 K 0.000 0.000 0.000
La1 La 0.000 0.000 0.500
Tc1 Tc 0.076 0.250 0.625
# Total magnetic moment   0.00 μB/f.u.



Least stable structure among those shown: D.